# BaPuTlCl6

A relaxed BaPuTlCl6 crystal (GGA-PBE, Alexandria via LeMat-Bulk).

a b c (Å): 7.7887 7.7887 12.8249
angles (deg): 90.00 90.00 120.00
Space group P-31c (No. 163)
One atom of each set of equivalent atoms:
1 Ba 0.3333 0.6667 0.2500 (multiplicity 2)
2 Pu 0.3333 0.6667 0.7500 (multiplicity 2)
3 Tl 0.0000 0.0000 0.0000 (multiplicity 2)
4 Cl 0.0350 0.3773 0.6335 (multiplicity 12)

formation energy from raw total energies	-1908	meV per atom
DOS at the Fermi energy	21.968	states/eV per cell